Entry from Alexandria: crystalline Sr3AgRh at its relaxed geometry (GGA-PBE).

Lattice parameters (Å, degrees): 4.184 9.450 9.450 110.09 90.00 90.00
Element x y z (fractional)
Sr  0.000  0.124  0.876
Sr  0.000  0.252  0.501
Sr  0.000  0.501  0.252
Sr  0.000  0.876  0.124
Sr  0.500  0.518  0.859
Sr  0.500  0.859  0.518
Ag  0.000  0.688  0.688
Ag  0.500  0.188  0.188
Rh  0.500  0.188  0.688
Rh  0.500  0.688  0.188

Summary:
distance to the lowest polymorph of the same formula = 84 meV per atom
symmetry = Amm2, No. 38
E_tot = -0.23554 Ry per atom
DOS at the Fermi energy = 3.933 states/eV/f.u.
V = 350.9 Å³/cell